CsLiScNb2 | SCAN | PBEsol geometry

Cell lengths 4.897, 4.897, 6.238 Å; angles 90.00, 90.00, 90.00 degrees
Sites, in units of the cell vectors:
Cs 0.000 0.000 0.000
Li 0.500 0.500 0.000
Sc 0.000 0.000 0.500
Nb 0.000 0.500 0.500
Nb 0.500 0.000 0.500

Computed properties:
* E_form: 1.66 eV per atom
* electronic total energy: -22.482 eV/atom